1.
# TiNiPt3 (PBE, optimized geometry)
# final energy: -5.709 eV/atom
# spin magnetization: 0.00 μB per cell
# DOS at the Fermi energy: 2.630 states/eV per atom
# polymorph energy (0 for the lowest one): 6.41 eV per formula unit
data_TiNiPt3
_space_group_name_H-M_alt 'P m -3 m'
_space_group_IT_number 221
_space_group_name_Hall '-P 4 2 3'
_cell_length_a 4.5153
_cell_length_b 4.5153
_cell_length_c 4.5153
_cell_angle_alpha 90.00
_cell_angle_beta 90.00
_cell_angle_gamma 90.00
loop_
_atom_site_label
_atom_site_fract_x
_atom_site_fract_y
_atom_site_fract_z
Ti1 0.0000 0.0000 0.0000
Ni1 0.5000 0.5000 0.5000
Pt1 0.0000 0.5000 0.5000

=====

2.
# Na3Ag6Te5 (PBE, optimized geometry)
# final energy: -2.969 eV/atom
# spin magnetization: 0.00 μB per cell
# formation energy without anion corrections: -0.343 eV per atom
# DOS at the Fermi energy: 0.276 states/eV per atom
data_Na3Ag6Te5
_space_group_name_H-M_alt 'P m m n'
_space_group_IT_number 59
_cell_length_a 4.4688
_cell_length_b 13.9062
_cell_length_c 11.8799
_cell_angle_alpha 90.00
_cell_angle_beta 90.00
_cell_angle_gamma 90.00
loop_
_space_group_symop_operation_xyz
'x,y,z'
'-x,-y,-z'
'-x+1/2,-y+1/2,z'
'x+1/2,y+1/2,-z'
'x+1/2,-y,-z'
'-x+1/2,y,z'
'-x,y+1/2,-z'
'x,-y+1/2,z'
loop_
_atom_site_label
_atom_site_fract_x
_atom_site_fract_y
_atom_site_fract_z
Na1 0.2500 0.0831 0.2395
Na2 0.2500 0.7500 0.2371
Ag1 0.2500 0.0688 0.6236
Ag2 0.2500 0.2500 0.0089
Ag3 0.2500 0.2500 0.4840
Ag4 0.2500 0.5970 0.9917
Te1 0.2500 0.0825 0.8546
Te2 0.2500 0.6174 0.5187
Te3 0.2500 0.7500 0.8324

=====

3.
# Pu6P4N (PBE, optimized geometry)
# final energy: -11.577 eV/atom
# spin magnetization: 198.01 μB per cell
# formation energy without anion corrections: -1.036 eV per atom
# DOS at the Fermi energy: 3.128 states/eV per atom
data_Pu6P4N
_space_group_name_H-M_alt 'R -3 c'
_space_group_IT_number 167
_space_group_name_Hall '-R 3 2"c'
_cell_length_a 10.8732
_cell_length_b 10.8732
_cell_length_c 13.7679
_cell_angle_alpha 90.00
_cell_angle_beta 90.00
_cell_angle_gamma 120.00
loop_
_atom_site_label
_atom_site_fract_x
_atom_site_fract_y
_atom_site_fract_z
Pu1 0.0324 0.1961 0.3950
P1 0.0000 0.0000 0.2500
P2 0.0000 0.3839 0.2500
N1 0.0000 0.0000 0.0000

=====

4.
# DyLuZn4 (PBE, optimized geometry)
# final energy: -2.696 eV/atom
# spin magnetization: 0.00 μB per cell
# DOS at the Fermi energy: 0.450 states/eV per atom
data_DyLuZn4
_space_group_name_H-M_alt 'F -4 3 m'
_space_group_IT_number 216
_space_group_name_Hall 'F -4 2 3'
_cell_length_a 7.6677
_cell_length_b 7.6677
_cell_length_c 7.6677
_cell_angle_alpha 90.00
_cell_angle_beta 90.00
_cell_angle_gamma 90.00
loop_
_atom_site_label
_atom_site_fract_x
_atom_site_fract_y
_atom_site_fract_z
Dy1 0.0000 0.0000 0.0000
Lu1 0.2500 0.2500 0.7500
Zn1 0.1250 0.1250 0.3750

=====

5.
# BaTl2CdIr (PBE, optimized geometry)
# final energy: -3.333 eV/atom
# spin magnetization: 0.00 μB per cell
# DOS at the Fermi energy: 0.364 states/eV per atom
# polymorph energy (0 for the lowest one): 0.43 eV per formula unit
data_BaTl2CdIr
_space_group_name_H-M_alt 'P 4/m m m'
_space_group_IT_number 123
_space_group_name_Hall '-P 4 2'
_cell_length_a 5.3397
_cell_length_b 5.3397
_cell_length_c 6.0084
_cell_angle_alpha 90.00
_cell_angle_beta 90.00
_cell_angle_gamma 90.00
loop_
_atom_site_label
_atom_site_fract_x
_atom_site_fract_y
_atom_site_fract_z
Ba1 0.0000 0.0000 0.0000
Tl1 0.0000 0.5000 0.5000
Cd1 0.5000 0.5000 0.0000
Ir1 0.0000 0.0000 0.5000

=====

6.
# WBr4Cl4 (PBE, optimized geometry)
# final energy: -3.538 eV/atom
# spin magnetization: 0.00 μB per cell
# formation energy without anion corrections: -0.534 eV per atom
data_WBr4Cl4
_space_group_name_H-M_alt 'P -1'
_space_group_IT_number 2
_space_group_name_Hall '-P 1'
_cell_length_a 8.2056
_cell_length_b 8.7428
_cell_length_c 11.2993
_cell_angle_alpha 89.82
_cell_angle_beta 90.00
_cell_angle_gamma 62.97
loop_
_atom_site_label
_atom_site_fract_x
_atom_site_fract_y
_atom_site_fract_z
W1 0.1343 0.1423 0.2500
Br1 0.0977 0.4343 0.2511
Br2 0.4060 0.6024 0.0687
Br3 0.4063 0.6020 0.4305
Br4 0.4709 0.0115 0.2490
Cl1 0.1354 0.1335 0.0464
Cl2 0.1392 0.1281 0.4536
Cl3 0.1590 0.8577 0.2492
Cl4 0.1771 0.7626 0.7492

=====

7.
# Ac3TlSn3 (PBE, optimized geometry)
# final energy: -4.231 eV/atom
# spin magnetization: 0.00 μB per cell
# DOS at the Fermi energy: 0.184 states/eV per atom
# polymorph energy (0 for the lowest one): 1.25 eV per formula unit
data_Ac3TlSn3
_space_group_name_H-M_alt 'P 63/m'
_space_group_IT_number 176
_space_group_name_Hall '-P 6c'
_cell_length_a 9.8604
_cell_length_b 9.8604
_cell_length_c 6.8393
_cell_angle_alpha 90.00
_cell_angle_beta 90.00
_cell_angle_gamma 120.00
loop_
_atom_site_label
_atom_site_fract_x
_atom_site_fract_y
_atom_site_fract_z
Ac1 0.0559 0.3671 0.2500
Tl1 0.3333 0.6667 0.7500
Sn1 0.0513 0.3546 0.7500

=====

8.
# LiSn2Pb2 (PBE, optimized geometry)
# final energy: -3.491 eV/atom
# spin magnetization: 0.00 μB per cell
# DOS at the Fermi energy: 0.556 states/eV per atom
# polymorph energy (0 for the lowest one): 0.34 eV per formula unit
data_LiSn2Pb2
_space_group_name_H-M_alt 'P 4/m b m'
_space_group_IT_number 127
_space_group_name_Hall '-P 4 2ab'
_cell_length_a 7.6881
_cell_length_b 7.6881
_cell_length_c 4.8615
_cell_angle_alpha 90.00
_cell_angle_beta 90.00
_cell_angle_gamma 90.00
loop_
_atom_site_label
_atom_site_fract_x
_atom_site_fract_y
_atom_site_fract_z
Li1 0.0000 0.0000 0.0000
Sn1 0.1362 0.3638 0.0000
Pb1 0.1747 0.6747 0.5000

=====

- Which formula does entry 2 have?
  Na3Ag6Te5